1.
12
Lattice="6.769 0.000 0.000 0.000 8.308 0.000 -0.083 0.000 6.813" Properties=species:S:1:pos:R:3 comment="La8Pd2RhC PBE optimized geometry" spacegroup=P2/m ef_ev_per_atom=-0.369 magmom_total_mub_per_fu=0.00 e_tot_ev_per_atom=-5.90 density_g_cm3=6.24 pbc="T T T"
La 1.476 1.880 2.390
La 1.476 6.428 2.390
La 1.492 0.000 5.552
La 1.627 4.154 5.730
La 5.059 4.154 1.083
La 5.194 0.000 1.261
La 5.210 1.880 4.424
La 5.210 6.428 4.424
Pd 3.385 2.004 0.000
Pd 3.385 6.304 0.000
Rh -0.042 4.154 3.407
C -0.042 0.000 3.407

***

2.
6
Lattice="-1.714 2.872 9.499 1.714 -2.872 9.499 1.714 2.872 -9.499" Properties=species:S:1:pos:R:3 comment="TbSm3In2 PBE optimized geometry" spacegroup=Immm ef_ev_per_atom=0.065 magmom_total_mub_per_fu=0.00 relative_energy_mev_per_atom=419 e_tot_ev_per_atom=-3.98 density_g_cm3=7.46 pbc="T T T"
Tb 0.000 0.000 0.000
Sm 0.000 0.000 3.488
Sm 0.000 2.872 0.000
Sm 0.000 0.000 15.511
In 0.000 0.000 6.709
In 0.000 0.000 12.290

***

3.
4
Lattice="4.419 0.000 0.000 0.000 4.419 0.000 0.000 0.000 3.890" Properties=species:S:1:pos:R:3 comment="PmCdIr2 PBE optimized geometry" spacegroup=P4/mmm ef_ev_per_atom=-0.247 magmom_total_mub_per_fu=0.00 relative_energy_mev_per_atom=0 e_tot_ev_per_atom=-6.09 density_g_cm3=14.03 pbc="T T T"
Pm 0.000 0.000 0.000
Cd 2.210 2.210 0.000
Ir 0.000 2.210 1.945
Ir 2.210 0.000 1.945